Record 1
# RbSc2ClO

A relaxed RbSc2ClO crystal (PBE, Alexandria).

Calculated values
DOS at the Fermi energy: 0.951 states/eV per atom

Unit cell a=4.7478 b=4.7478 c=6.2541 alpha=90.00 beta=90.00 gamma=90.00
Space group P4/mmm (No. 123)
One atom of each set of equivalent atoms:
Rb: 0.0000 0.0000 0.0000 x1
Sc: 0.0000 0.5000 0.5000 x2
Cl: 0.0000 0.0000 0.5000 x1
O: 0.5000 0.5000 0.0000 x1

Record 2
# Rb6SeCl2O

A relaxed Rb6SeCl2O crystal (PBE, Alexandria).

Unit cell a=8.0022 b=11.8968 c=9.2468 alpha=90.00 beta=90.00 gamma=90.00
Space group Pmmn (No. 59, origin choice 2)
One atom of each set of equivalent atoms:
Rb: 0.0092 0.2500 0.0298 x4
Rb: 0.0212 0.7500 0.3753 x4
Rb: 0.2500 0.0159 0.8049 x4
Se: 0.2500 0.7500 0.6783 x2
Cl: 0.2500 0.5665 0.1475 x4
O: 0.2500 0.2500 0.8062 x2

| no. | M_tot (μB/f.u.) | formation energy (no corrections) (eV/atom) |
| --- | --- | --- |
| 1 | 1.48 | 0.02 |
| 2 | 0.07 | -1.29 |